# CuTcGe (GGA-PBE, relaxed)
# Spin magnetization (μB per formula unit): 0.00
# Calculated formation energy (eV/atom): 0.08
# E above lowest polymorph (meV per atom): 0
# Calculated density (Mg/m³): 9.23
data_CuTcGe
_cell_length_a 3.214
_cell_length_b 3.214
_cell_length_c 8.163
_cell_angle_alpha 90.00
_cell_angle_beta 90.00
_cell_angle_gamma 90.00
_symmetry_space_group_name_H-M 'P 4/n m m'
_symmetry_Int_Tables_number 129
loop_
_symmetry_equiv_pos_as_xyz
'x,y,z'
'-x,-y,-z'
'-y+1/2,x,z'
'y+1/2,-x,-z'
'-x+1/2,-y+1/2,z'
'x+1/2,y+1/2,-z'
'y,-x+1/2,z'
'-y,x+1/2,-z'
'x+1/2,-y,-z'
'-x+1/2,y,z'
'-y,-x,-z'
'y,x,z'
'-x,y+1/2,-z'
'x,-y+1/2,z'
'y+1/2,x+1/2,-z'
'-y+1/2,-x+1/2,z'
loop_
_atom_site_label
_atom_site_type_symbol
_atom_site_fract_x
_atom_site_fract_y
_atom_site_fract_z
Cu1 Cu 0.250 0.250 0.071
Tc1 Tc 0.250 0.250 0.736
Ge1 Ge 0.250 0.250 0.402